(i)
# NaMo

A geometry-optimized NaMo structure (PBE-GGA, the Alexandria database).

The calculation puts the magnetic moment at 0.00 μB per formula unit. The value obtained for the density of states at the Fermi level is 0.81 states/eV per atom. Its space-group type is Fddd (70).

abc: 8.4712 7.7528 5.3175
angles: 78.37 63.69 37.94
Fractional coordinates of all 8 atoms:
Na  0.0316  0.7184  0.0316
Na  0.2816  0.9684  0.2816
Na  0.7184  0.0316  0.7184
Na  0.9684  0.2816  0.9684
Mo  0.3018  0.3018  0.4482
Mo  0.4482  0.4482  0.3018
Mo  0.5518  0.5518  0.6982
Mo  0.6982  0.6982  0.5518

(ii)
# NaMo

A geometry-optimized NaMo structure (PBE-GGA, the Alexandria database).

The calculation puts the magnetic moment at 0.00 μB per formula unit. The value obtained for the density of states at the Fermi level is 0.57 states/eV per atom. Its space-group type is P2_1/m (11).

abc: 3.2421 3.2117 9.0207
angles: 90.00 91.85 90.00
Fractional coordinates of all 4 atoms:
Na  0.2411  0.2500  0.3303
Na  0.7589  0.7500  0.6697
Mo  0.2769  0.2500  0.9341
Mo  0.7231  0.7500  0.0659

(iii)
# NaMo

A geometry-optimized NaMo structure (PBE-GGA, the Alexandria database).

The calculation puts the magnetic moment at 5.12 μB per formula unit. The value obtained for the density of states at the Fermi level is 0.23 states/eV per atom. Its space-group type is F-43m (216).

abc: 5.1408 5.1408 5.1408
angles: 60.00 60.00 60.00
Fractional coordinates of all 2 atoms:
Na  0.0000  0.0000  0.0000
Mo  0.7500  0.7500  0.7500

Energy relative to the most stable one, in eV/atom: (i) 0.618; (ii) 0.000; (iii) 2.187

(i)
# NaNb2Mo

A geometry-optimized NaNb2Mo structure (PBE-GGA, the Alexandria database).

The calculation puts the magnetic moment at 0.00 μB per formula unit. The value obtained for the density of states at the Fermi level is 1.13 states/eV per atom. Its space-group type is Fm-3m (225).

abc: 4.6673 4.6673 4.6673
angles: 60.00 60.00 60.00
Fractional coordinates of all 4 atoms:
Na  0.0000  0.0000  0.0000
Nb  0.2500  0.2500  0.2500
Nb  0.7500  0.7500  0.7500
Mo  0.5000  0.5000  0.5000

(ii)
# NaNb2Mo

A geometry-optimized NaNb2Mo structure (PBE-GGA, the Alexandria database).

The calculation puts the magnetic moment at 0.72 μB per formula unit. The value obtained for the density of states at the Fermi level is 0.97 states/eV per atom. Its space-group type is I-42d (122).

abc: 10.1717 10.1717 10.1717
angles: 157.40 157.40 32.17
Fractional coordinates of all 8 atoms:
Na  0.0000  0.0000  0.0000
Na  0.7500  0.2500  0.5000
Nb  0.1450  0.6250  0.0200
Nb  0.3750  0.3950  0.5200
Nb  0.6050  0.1250  0.9800
Nb  0.8750  0.8550  0.4800
Mo  0.2500  0.7500  0.5000
Mo  0.5000  0.5000  0.0000

Energy relative to the most stable one, in eV/atom: (i) 0.000; (ii) 0.567

(i)
# NaNbMo2

A geometry-optimized NaNbMo2 structure (PBE-GGA, the Alexandria database).

The calculation puts the magnetic moment at 0.00 μB per formula unit. The value obtained for the density of states at the Fermi level is 1.68 states/eV per atom. Its space-group type is Fm-3m (225).

abc: 4.6116 4.6116 4.6116
angles: 60.00 60.00 60.00
Fractional coordinates of all 4 atoms:
Na  0.0000  0.0000  0.0000
Nb  0.5000  0.5000  0.5000
Mo  0.2500  0.2500  0.2500
Mo  0.7500  0.7500  0.7500

(ii)
# NaNbMo2

A geometry-optimized NaNbMo2 structure (PBE-GGA, the Alexandria database).

The calculation puts the magnetic moment at 0.12 μB per formula unit. The value obtained for the density of states at the Fermi level is 0.93 states/eV per atom. Its space-group type is I-42d (122).

abc: 10.2030 10.2030 10.2030
angles: 158.02 158.02 31.29
Fractional coordinates of all 8 atoms:
Na  0.0000  0.0000  0.0000
Na  0.7500  0.2500  0.5000
Nb  0.2500  0.7500  0.5000
Nb  0.5000  0.5000  0.0000
Mo  0.1611  0.6250  0.0361
Mo  0.3750  0.4111  0.5361
Mo  0.5889  0.1250  0.9639
Mo  0.8750  0.8389  0.4639

Energy relative to the most stable one, in eV/atom: (i) 0.000; (ii) 0.345

(i)
# NaNb2Mo2

A geometry-optimized NaNb2Mo2 structure (PBE-GGA, the Alexandria database).

The calculation puts the magnetic moment at 0.00 μB per formula unit. The value obtained for the density of states at the Fermi level is 1.33 states/eV per atom. Its space-group type is P4/mbm (127).

abc: 7.8344 7.8344 3.1493
angles: 90.00 90.00 90.00
Fractional coordinates of all 10 atoms:
Na  0.0000  0.0000  0.0000
Na  0.5000  0.5000  0.0000
Nb  0.1440  0.3560  0.5000
Nb  0.3560  0.8560  0.5000
Nb  0.6440  0.1440  0.5000
Nb  0.8560  0.6440  0.5000
Mo  0.1381  0.6381  0.0000
Mo  0.3619  0.1381  0.0000
Mo  0.6381  0.8619  0.0000
Mo  0.8619  0.3619  0.0000

(ii)
# NaNb2Mo2

A geometry-optimized NaNb2Mo2 structure (PBE-GGA, the Alexandria database).

The calculation puts the magnetic moment at 0.00 μB per formula unit. The value obtained for the density of states at the Fermi level is 1.25 states/eV per atom. Its space-group type is I4/mmm (139).

abc: 6.4590 6.4590 6.4590
angles: 141.07 141.07 56.23
Fractional coordinates of all 5 atoms:
Na  0.0000  0.0000  0.0000
Nb  0.2500  0.7500  0.5000
Nb  0.7500  0.2500  0.5000
Mo  0.3850  0.3850  0.0000
Mo  0.6150  0.6150  0.0000

Energy relative to the most stable one, in eV/atom: (i) 0.000; (ii) 0.289

(i)
# NaNiMo3

A geometry-optimized NaNiMo3 structure (PBE-GGA, the Alexandria database).

The calculation puts the magnetic moment at 0.00 μB per formula unit. The value obtained for the density of states at the Fermi level is 0.89 states/eV per atom. Its space-group type is Pm-3m (221).

abc: 4.4527 4.4527 4.4527
angles: 90.00 90.00 90.00
Fractional coordinates of all 5 atoms:
Na  0.0000  0.0000  0.0000
Ni  0.5000  0.5000  0.5000
Mo  0.0000  0.0000  0.5000
Mo  0.0000  0.5000  0.0000
Mo  0.5000  0.0000  0.0000

(ii)
# NaNiMo3

A geometry-optimized NaNiMo3 structure (PBE-GGA, the Alexandria database).

The calculation puts the magnetic moment at 0.00 μB per formula unit. The value obtained for the density of states at the Fermi level is 2.18 states/eV per atom. Its space-group type is Pm-3m (221).

abc: 4.5797 4.5797 4.5797
angles: 90.00 90.00 90.00
Fractional coordinates of all 5 atoms:
Na  0.0000  0.0000  0.0000
Ni  0.5000  0.5000  0.5000
Mo  0.0000  0.5000  0.5000
Mo  0.5000  0.0000  0.5000
Mo  0.5000  0.5000  0.0000

Energy relative to the most stable one, in eV/atom: (i) 1.208; (ii) 0.000

(i)
# NaNiMo2

A geometry-optimized NaNiMo2 structure (PBE-GGA, the Alexandria database).

The calculation puts the magnetic moment at 0.00 μB per formula unit. The value obtained for the density of states at the Fermi level is 1.42 states/eV per atom. Its space-group type is I-42d (122).

abc: 10.2834 10.2834 10.2834
angles: 159.43 159.43 29.25
Fractional coordinates of all 8 atoms:
Na  0.0000  0.0000  0.0000
Na  0.7500  0.2500  0.5000
Ni  0.2500  0.7500  0.5000
Ni  0.5000  0.5000  0.0000
Mo  0.1493  0.6250  0.0243
Mo  0.3750  0.3993  0.5243
Mo  0.6007  0.1250  0.9757
Mo  0.8750  0.8507  0.4757

(ii)
# NaNiMo2

A geometry-optimized NaNiMo2 structure (PBE-GGA, the Alexandria database).

The calculation puts the magnetic moment at 0.00 μB per formula unit. The value obtained for the density of states at the Fermi level is 0.86 states/eV per atom. Its space-group type is Fm-3m (225).

abc: 4.3821 4.3821 4.3821
angles: 60.00 60.00 60.00
Fractional coordinates of all 4 atoms:
Na  0.0000  0.0000  0.0000
Ni  0.5000  0.5000  0.5000
Mo  0.2500  0.2500  0.2500
Mo  0.7500  0.7500  0.7500

Energy relative to the most stable one, in eV/atom: (i) 0.000; (ii) 0.031